# K2NdHfS4 (PBE-GGA, relaxed)
data_K2NdHfS4
_chemical_formula_sum 'K2 Nd1 Hf1 S4'
_cell_length_a 3.932
_cell_length_b 6.899
_cell_length_c 7.741
_cell_angle_alpha 106.77
_cell_angle_beta 90.00
_cell_angle_gamma 90.00
_symmetry_space_group_name_H-M 'P 1'
_symmetry_Int_Tables_number 1
loop_
_symmetry_equiv_pos_as_xyz
'x,y,z'
loop_
_atom_site_label
_atom_site_fract_x
_atom_site_fract_y
_atom_site_fract_z
K1 0.500 0.000 0.500
Hf1 0.500 0.500 0.000
S1 0.500 0.261 0.207
S2 0.000 0.290 0.803
Nd1 0.000 0.000 0.000
S3 0.000 0.710 0.197
S4 0.500 0.739 0.793
K2 0.000 0.500 0.500
# formation energy without anion corrections: -1.619 eV per atom
# final energy: -5.797 eV/atom
# calculated volume: 201 Å³ per cell
# total magnetization: 0.00 Bohr magnetons per cell